The following is a DFT calculation (GGA-PBEsol) of a relaxed Pr5Co2 crystal.

Cell lengths 8.867, 8.867, 6.992 Å; angles 95.79, 95.79, 42.43 degrees
Positions (direct):
Pr  0.070  0.930  0.750
Pr  0.144  0.283  0.321
Pr  0.283  0.144  0.821
Pr  0.300  0.511  0.085
Pr  0.489  0.700  0.415
Pr  0.511  0.300  0.585
Pr  0.700  0.489  0.915
Pr  0.717  0.856  0.179
Pr  0.856  0.717  0.679
Pr  0.930  0.070  0.250
Co  0.094  0.687  0.425
Co  0.313  0.906  0.075
Co  0.687  0.094  0.925
Co  0.906  0.313  0.575

Output
E_tot ... -83.3 eV/cell
Density ... 7.4 g/cm3
Calculated volume ... 26.33 Å³/atom
DOS at the Fermi energy ... 1.0817 states/eV per atom
Magnetic moment ... 0.00 Bohr magnetons per cell



The following is a DFT calculation (GGA-PBEsol) of a relaxed Pr3Co crystal.

Cell lengths 7.010, 9.804, 6.362 Å; angles 90.00, 90.00, 90.00 degrees
Positions (direct):
Pr  0.045  0.250  0.146
Pr  0.169  0.069  0.674
Pr  0.169  0.431  0.674
Pr  0.331  0.569  0.174
Pr  0.331  0.931  0.174
Pr  0.455  0.750  0.646
Pr  0.545  0.250  0.354
Pr  0.669  0.069  0.826
Pr  0.669  0.431  0.826
Pr  0.831  0.569  0.326
Pr  0.831  0.931  0.326
Pr  0.955  0.750  0.854
Co  0.116  0.750  0.435
Co  0.384  0.250  0.935
Co  0.616  0.750  0.065
Co  0.884  0.250  0.565

Output
E_tot ... -93.7 eV/cell
Density ... 7.3 g/cm3
Calculated volume ... 27.33 Å³/atom
DOS at the Fermi energy ... 1.2095 states/eV per atom
Magnetic moment ... 0.00 Bohr magnetons per cell



The following is a DFT calculation (GGA-PBEsol) of a relaxed PrCo3 crystal.

Cell lengths 8.646, 8.646, 8.646 Å; angles 33.44, 33.44, 33.44 degrees
Positions (direct):
Pr  0.000  0.000  0.000
Pr  0.140  0.140  0.140
Pr  0.860  0.860  0.860
Co  0.083  0.577  0.577
Co  0.333  0.333  0.333
Co  0.423  0.423  0.917
Co  0.423  0.917  0.423
Co  0.500  0.500  0.500
Co  0.577  0.083  0.577
Co  0.577  0.577  0.083
Co  0.667  0.667  0.667
Co  0.917  0.423  0.423

Output
E_tot ... -85.2 eV/cell
Density ... 9.1 g/cm3
Calculated volume ... 14.57 Å³/atom
DOS at the Fermi energy ... 1.5309 states/eV per atom
Magnetic moment ... 9.59 Bohr magnetons per cell



The following is a DFT calculation (GGA-PBEsol) of a relaxed PrCo9Si4 crystal.

Cell lengths 7.819, 7.819, 7.819 Å; angles 121.37, 121.37, 87.65 degrees
Positions (direct):
Pr  0.250  0.250  0.000
Pr  0.750  0.750  0.000
Co  0.000  0.500  0.500
Co  0.052  0.552  0.245
Co  0.071  0.799  0.870
Co  0.193  0.948  0.500
Co  0.201  0.071  0.272
Co  0.299  0.571  0.870
Co  0.307  0.807  0.755
Co  0.429  0.299  0.728
Co  0.448  0.693  0.500
Co  0.500  0.000  0.500
Co  0.552  0.307  0.500
Co  0.571  0.701  0.272
Co  0.693  0.193  0.245
Co  0.701  0.429  0.130
Co  0.799  0.929  0.728
Co  0.807  0.052  0.500
Co  0.929  0.201  0.130
Co  0.948  0.448  0.755
Si  0.050  0.209  0.500
Si  0.209  0.709  0.159
Si  0.291  0.450  0.500
Si  0.450  0.950  0.159
Si  0.550  0.050  0.841
Si  0.709  0.550  0.500
Si  0.791  0.291  0.841
Si  0.950  0.791  0.500

Output
Formation energy (no corrections) ... -0.54 eV/atom
Density ... 7.9 g/cm3
Calculated volume ... 11.81 Å³/atom
DOS at the Fermi energy ... 0.9707 states/eV per atom
Magnetic moment ... 6.06 Bohr magnetons per cell



The following is a DFT calculation (GGA-PBEsol) of a relaxed PrCo4Si crystal.

Cell lengths 5.050, 8.262, 3.891 Å; angles 90.00, 90.00, 90.00 degrees
Positions (direct):
Pr  0.000  0.000  0.000
Pr  0.500  0.500  0.000
Co  0.000  0.338  0.000
Co  0.000  0.662  0.000
Co  0.250  0.250  0.500
Co  0.250  0.750  0.500
Co  0.500  0.162  0.000
Co  0.500  0.838  0.000
Co  0.750  0.250  0.500
Co  0.750  0.750  0.500
Si  0.000  0.500  0.500
Si  0.500  0.000  0.500

Output
Formation energy (no corrections) ... -0.28 eV/atom
Density ... 8.3 g/cm3
Calculated volume ... 13.53 Å³/atom
DOS at the Fermi energy ... 1.7741 states/eV per atom
Magnetic moment ... 6.12 Bohr magnetons per cell



The following is a DFT calculation (GGA-PBEsol) of a relaxed CoPt3 crystal.

Cell lengths 2.708, 2.708, 7.605 Å; angles 90.00, 90.00, 90.00 degrees
Positions (direct):
Co  0.000  0.000  0.000
Pt  0.000  0.000  0.500
Pt  0.500  0.500  0.230
Pt  0.500  0.500  0.770

Output
E_tot ... -28.9 eV/cell
Density ... 19.2 g/cm3
Calculated volume ... 13.94 Å³/atom
DOS at the Fermi energy ... 1.2895 states/eV per atom
Magnetic moment ... 2.84 Bohr magnetons per cell



The following is a DFT calculation (GGA-PBEsol) of a relaxed Co3Pt crystal.

Cell lengths 2.594, 8.197, 4.403 Å; angles 90.00, 90.00, 90.00 degrees
Positions (direct):
Co  0.000  0.000  0.000
Co  0.000  0.255  0.660
Co  0.000  0.745  0.660
Co  0.500  0.245  0.160
Co  0.500  0.500  0.500
Co  0.500  0.755  0.160
Pt  0.000  0.500  0.005
Pt  0.500  0.000  0.505

Output
E_tot ... -60.6 eV/cell
Density ... 13.2 g/cm3
Calculated volume ... 11.70 Å³/atom
DOS at the Fermi energy ... 0.8554 states/eV per atom
Magnetic moment ... 10.90 Bohr magnetons per cell



The following is a DFT calculation (GGA-PBEsol) of a relaxed CoPt crystal.

Cell lengths 2.653, 2.653, 8.548 Å; angles 90.00, 90.00, 120.00 degrees
Positions (direct):
Co  0.333  0.667  0.393
Co  0.667  0.333  0.607
Pt  0.333  0.667  0.855
Pt  0.667  0.333  0.145

Output
E_tot ... -29.4 eV/cell
Density ... 16.2 g/cm3
Calculated volume ... 13.03 Å³/atom
DOS at the Fermi energy ... 0.6819 states/eV per atom
Magnetic moment ... 4.18 Bohr magnetons per cell



The following is a DFT calculation (GGA-PBEsol) of a relaxed Co5Pt crystal.

Cell lengths 9.210, 2.559, 5.935 Å; angles 90.00, 104.90, 90.00 degrees
Positions (direct):
Co  0.000  0.000  0.000
Co  0.053  0.000  0.591
Co  0.168  0.500  0.334
Co  0.340  0.000  0.651
Co  0.394  0.000  0.278
Co  0.500  0.500  0.000
Co  0.553  0.500  0.591
Co  0.668  0.000  0.334
Co  0.840  0.500  0.651
Co  0.894  0.500  0.278
Pt  0.221  0.500  0.933
Pt  0.721  0.000  0.933

Output
E_tot ... -91.5 eV/cell
Density ... 12.0 g/cm3
Calculated volume ... 11.26 Å³/atom
DOS at the Fermi energy ... 0.8165 states/eV per atom
Magnetic moment ... 17.21 Bohr magnetons per cell



The following is a DFT calculation (GGA-PBEsol) of a relaxed Co5Pt4 crystal.

Cell lengths 5.823, 5.823, 5.823 Å; angles 95.87, 95.87, 142.70 degrees
Positions (direct):
Co  0.000  0.000  0.000
Co  0.341  0.341  0.682
Co  0.341  0.659  0.000
Co  0.659  0.341  0.000
Co  0.659  0.659  0.318
Pt  0.000  0.320  0.320
Pt  0.000  0.680  0.680
Pt  0.320  0.000  0.320
Pt  0.680  0.000  0.680

Output
E_tot ... -67.2 eV/cell
Density ... 15.7 g/cm3
Calculated volume ... 12.60 Å³/atom
DOS at the Fermi energy ... 1.1354 states/eV per atom
Magnetic moment ... 10.27 Bohr magnetons per cell



The following is a DFT calculation (GGA-PBEsol) of a relaxed Co5Pt crystal.

Cell lengths 3.566, 10.590, 3.569 Å; angles 90.00, 90.00, 90.00 degrees
Positions (direct):
Co  0.000  0.000  0.000
Co  0.000  0.172  0.500
Co  0.000  0.328  0.000
Co  0.000  0.672  0.000
Co  0.000  0.828  0.500
Co  0.500  0.172  0.000
Co  0.500  0.328  0.500
Co  0.500  0.500  0.000
Co  0.500  0.672  0.500
Co  0.500  0.828  0.000
Pt  0.000  0.500  0.500
Pt  0.500  0.000  0.500

Output
E_tot ... -91.5 eV/cell
Density ... 12.1 g/cm3
Calculated volume ... 11.23 Å³/atom
DOS at the Fermi energy ... 1.1139 states/eV per atom
Magnetic moment ... 17.23 Bohr magnetons per cell



The following is a DFT calculation (GGA-PBEsol) of a relaxed CoPt3 crystal.

Cell lengths 5.399, 7.672, 2.716 Å; angles 90.00, 90.00, 90.00 degrees
Positions (direct):
Co  0.000  0.000  0.000
Co  0.500  0.500  0.000
Pt  0.000  0.500  0.000
Pt  0.250  0.250  0.500
Pt  0.250  0.750  0.500
Pt  0.500  0.000  0.000
Pt  0.750  0.250  0.500
Pt  0.750  0.750  0.500

Output
E_tot ... -57.5 eV/cell
Density ... 19.0 g/cm3
Calculated volume ... 14.06 Å³/atom
DOS at the Fermi energy ... 1.3448 states/eV per atom
Magnetic moment ... 5.54 Bohr magnetons per cell